Record 1
This record from Alexandria describes a relaxed structure of Tb3YHo4. The functional is PBE-GGA. Values from VASP.

Properties
- Energy above the lowest structure with this stoichiometry: 0.00 eV/f.u.
- E_tot: -0.355 Ry/atom
- SG: Pmn2_1
- DOS at the Fermi energy: 26.86 states/eV per cell
- Calculated formation energy: 5 kJ/mol of formula units

Geometry as Quantum ESPRESSO input:
```
&SYSTEM
  ibrav = 0, nat = 16, ntyp = 3
/
ATOMIC_SPECIES
Ho 164.93 Ho.upf
Tb 158.93 Tb.upf
Y 88.91 Y.upf
CELL_PARAMETERS angstrom
-0.4179 1.5088 6.0767
-1.0771 -6.9843 1.6601
11.0832 -1.4429 1.1204
ATOMIC_POSITIONS crystal
Ho 0.1481 0.8763 0.5000
Ho 0.9801 0.1238 0.7497
Tb 0.9819 0.6261 0.7498
Ho 0.6475 0.1242 0.5000
Tb 0.4819 0.3739 0.2498
Tb 0.4819 0.3739 0.7502
Ho 0.1475 0.8758 0.0000
Tb 0.6479 0.6262 0.0000
Tb 0.1479 0.3738 0.5000
Ho 0.4801 0.8762 0.2497
Y 0.1477 0.3740 0.0000
Ho 0.6481 0.1237 0.0000
Y 0.6477 0.6260 0.5000
Tb 0.9819 0.6261 0.2502
Ho 0.4801 0.8762 0.7503
Ho 0.9801 0.1238 0.2503
```

---

Record 2
This record from Alexandria describes a relaxed structure of Tb3Y8Ho. The functional is PBE-GGA. Values from VASP.

Properties
- E_tot: -0.404 Ry/atom
- SG: C2/m
- DOS at the Fermi energy: 20.57 states/eV per cell
- Calculated formation energy: 408 kJ/mol of formula units

Geometry as Quantum ESPRESSO input:
```
&SYSTEM
  ibrav = 0, nat = 12, ntyp = 3
/
ATOMIC_SPECIES
Tb 158.93 Tb.upf
Y 88.91 Y.upf
Ho 164.93 Ho.upf
CELL_PARAMETERS angstrom
-7.6842 4.2471 1.2846
-5.7667 0.8218 6.6936
10.1441 3.6144 -1.3072
ATOMIC_POSITIONS crystal
Tb 0.0000 0.0000 0.5000
Y 0.2684 0.7480 0.2418
Y 0.2520 0.7316 0.7582
Y 0.2502 0.2502 0.0684
Y 0.7480 0.2684 0.2418
Ho 0.0000 0.0000 0.0000
Tb 0.3100 0.3100 0.7967
Y 0.7316 0.2520 0.7582
Y 0.2553 0.2553 0.4009
Tb 0.6900 0.6900 0.2033
Y 0.7498 0.7498 0.9316
Y 0.7447 0.7447 0.5991
```

---

Record 3
This record from Alexandria describes a relaxed structure of Tb4YHo7. The functional is PBE-GGA. Values from VASP.

Properties
- Energy above the lowest structure with this stoichiometry: 2.40 eV/f.u.
- E_tot: -0.328 Ry/atom
- SG: C2/m
- DOS at the Fermi energy: 20.35 states/eV per cell
- Calculated formation energy: 333 kJ/mol of formula units

Geometry as Quantum ESPRESSO input:
```
&SYSTEM
  ibrav = 0, nat = 12, ntyp = 3
/
ATOMIC_SPECIES
Ho 164.93 Ho.upf
Y 88.91 Y.upf
Tb 158.93 Tb.upf
CELL_PARAMETERS angstrom
-3.3614 3.7360 -2.9934
-6.2012 -6.6525 -7.0548
-5.9621 1.3834 2.7061
ATOMIC_POSITIONS crystal
Ho 0.7871 0.9235 0.5024
Ho 0.2129 0.0765 0.4976
Y 0.0000 0.0000 0.0000
Tb 0.7558 0.6807 0.8078
Tb 0.6362 0.2244 0.5032
Ho 0.0608 0.6771 0.2013
Tb 0.3638 0.7756 0.4968
Ho 0.5000 0.0000 0.0000
Ho 0.6336 0.4994 0.2333
Ho 0.9392 0.3229 0.7987
Ho 0.3664 0.5006 0.7667
Tb 0.2442 0.3193 0.1922
```

---

Record 4
This record from Alexandria describes a relaxed structure of Tb8YHo6. The functional is PBE-GGA. Values from VASP.

Properties
- Energy above the lowest structure with this stoichiometry: 0.00 eV/f.u.
- E_tot: -0.338 Ry/atom
- SG: R-3
- DOS at the Fermi energy: 23.63 states/eV per cell
- Calculated formation energy: 189 kJ/mol of formula units

Geometry as Quantum ESPRESSO input:
```
&SYSTEM
  ibrav = 0, nat = 15, ntyp = 3
/
ATOMIC_SPECIES
Tb 158.93 Tb.upf
Ho 164.93 Ho.upf
Y 88.91 Y.upf
CELL_PARAMETERS angstrom
-4.9360 6.4050 3.9898
-8.0905 2.1852 -3.3279
-7.2685 -1.8823 4.2187
ATOMIC_POSITIONS crystal
Tb 0.4231 0.4231 0.7306
Ho 0.8952 0.7648 0.8794
Ho 0.2352 0.5394 0.1206
Y 0.0000 0.0000 0.0000
Tb 0.7451 0.7202 0.4242
Tb 0.1105 0.7451 0.4242
Tb 0.7202 0.1105 0.4242
Ho 0.5394 0.1048 0.1206
Ho 0.1048 0.2352 0.1206
Tb 0.2798 0.8895 0.5758
Ho 0.7648 0.4606 0.8794
Tb 0.5769 0.5769 0.2694
Ho 0.4606 0.8952 0.8794
Tb 0.8895 0.2549 0.5758
Tb 0.2549 0.2798 0.5758
```

---

Record 5
This record from Alexandria describes a relaxed structure of Tb6YHo5. The functional is PBE-GGA. Values from VASP.

Properties
- E_tot: -0.349 Ry/atom
- SG: C2/m
- DOS at the Fermi energy: 15.85 states/eV per cell
- Calculated formation energy: 19 kJ/mol of formula units

Geometry as Quantum ESPRESSO input:
```
&SYSTEM
  ibrav = 0, nat = 12, ntyp = 3
/
ATOMIC_SPECIES
Ho 164.93 Ho.upf
Tb 158.93 Tb.upf
Y 88.91 Y.upf
CELL_PARAMETERS angstrom
-0.9977 -5.4766 10.3412
-2.0033 -5.4937 -1.8912
4.0235 -4.4379 -1.3564
ATOMIC_POSITIONS crystal
Ho 0.0000 0.3333 0.3333
Ho 0.5000 0.8334 0.3333
Ho 0.5000 0.5000 0.0000
Tb 0.7496 0.7490 0.0000
Tb 0.2505 0.9169 0.6659
Tb 0.2505 0.5827 0.3341
Tb 0.7495 0.4173 0.6659
Ho 0.5000 0.1666 0.6667
Y 0.0000 0.0000 0.0000
Ho 0.0000 0.6667 0.6667
Tb 0.7495 0.0831 0.3341
Tb 0.2504 0.2510 0.0000
```

---

Record 6
This record from Alexandria describes a relaxed structure of Tb5YHo5. The functional is PBE-GGA. Values from VASP.

Properties
- Energy above the lowest structure with this stoichiometry: 0.00 eV/f.u.
- E_tot: -0.340 Ry/atom
- SG: P-1
- DOS at the Fermi energy: 16.53 states/eV per cell
- Calculated formation energy: 157 kJ/mol of formula units

Geometry as Quantum ESPRESSO input:
```
&SYSTEM
  ibrav = 0, nat = 11, ntyp = 3
/
ATOMIC_SPECIES
Ho 164.93 Ho.upf
Y 88.91 Y.upf
Tb 158.93 Tb.upf
CELL_PARAMETERS angstrom
6.6806 -0.0233 1.9211
-4.2569 7.8972 -3.0021
2.8963 0.2786 7.6027
ATOMIC_POSITIONS crystal
Ho 0.6765 0.2801 0.3535
Y 0.0000 0.0000 0.0000
Tb 0.1469 0.3585 0.8442
Tb 0.8531 0.6415 0.1558
Ho 0.3386 0.6879 0.2099
Ho 0.3235 0.7199 0.6465
Ho 0.0000 0.0000 0.5000
Tb 0.7475 0.6539 0.6763
Ho 0.6614 0.3121 0.7901
Tb 0.2525 0.3461 0.3237
Tb 0.5000 0.0000 0.0000
```

---

Record 7
This record from Alexandria describes a relaxed structure of Tb7YHo2. The functional is PBE-GGA. Values from VASP.

Properties
- Energy above the lowest structure with this stoichiometry: 6.68 eV/f.u.
- E_tot: -0.303 Ry/atom
- SG: Cmmm
- DOS at the Fermi energy: 13.49 states/eV per cell
- Calculated formation energy: 663 kJ/mol of formula units

Geometry as Quantum ESPRESSO input:
```
&SYSTEM
  ibrav = 0, nat = 10, ntyp = 3
/
ATOMIC_SPECIES
Tb 158.93 Tb.upf
Ho 164.93 Ho.upf
Y 88.91 Y.upf
CELL_PARAMETERS angstrom
5.3846 0.0000 0.0000
0.0000 9.4221 -0.6860
0.0000 -4.8631 8.0993
ATOMIC_POSITIONS crystal
Tb 0.5000 0.5000 0.5000
Tb 0.5000 0.9334 0.7107
Tb 0.5000 0.7107 0.9334
Tb 0.0000 0.2032 0.7968
Tb 0.5000 0.0666 0.2893
Tb 0.0000 0.7968 0.2032
Ho 0.5000 0.2971 0.7029
Y 0.0000 0.0000 0.0000
Ho 0.5000 0.7029 0.2971
Tb 0.5000 0.2893 0.0666
```

---

Record 8
This record from Alexandria describes a relaxed structure of Tb6Y3Ho. The functional is PBE-GGA. Values from VASP.

Properties
- Energy above the lowest structure with this stoichiometry: 0.11 eV/f.u.
- E_tot: -0.370 Ry/atom
- SG: Cmc2_1
- DOS at the Fermi energy: 29.22 states/eV per cell
- Calculated formation energy: 136 kJ/mol of formula units

Geometry as Quantum ESPRESSO input:
```
&SYSTEM
  ibrav = 0, nat = 20, ntyp = 3
/
ATOMIC_SPECIES
Y 88.91 Y.upf
Tb 158.93 Tb.upf
Ho 164.93 Ho.upf
CELL_PARAMETERS angstrom
6.1714 0.0000 0.0000
0.0000 10.9074 -1.6199
0.0000 -4.0131 10.2708
ATOMIC_POSITIONS crystal
Y 0.9601 0.7213 0.9404
Y 0.9601 0.0596 0.2787
Tb 0.0337 0.3813 0.2887
Tb 0.8629 0.9557 0.5344
Tb 0.8629 0.4656 0.0443
Ho 0.1377 0.2061 0.7939
Y 0.5693 0.6107 0.3893
Y 0.4601 0.9404 0.7213
Tb 0.3629 0.5344 0.9557
Tb 0.3629 0.0443 0.4656
Ho 0.6377 0.7939 0.2061
Tb 0.1393 0.7191 0.2809
Tb 0.5337 0.2887 0.3813
Tb 0.6393 0.2809 0.7191
Y 0.4601 0.2787 0.0596
Tb 0.5337 0.6187 0.7113
Tb 0.4257 0.9534 0.0466
Y 0.0693 0.3893 0.6107
Tb 0.9257 0.0466 0.9534
Tb 0.0337 0.7113 0.6187
```